No. 1
Compound: ReTc6Ru3
Source: Alexandria
Functional: GGA-PBE
Structure: relaxed

Calculated values
- Final energy: -9.78 eV/atom
- ΔH_f (0 K): 0.463 eV per atom

abc: 5.0526 7.6300 9.5384
angles: 90.00 121.91 90.00
With the nearest neighbours (Å) after each atom.
Space group P2_1/c (No. 14)
Symmetry-distinct sites (fractional):
1 Re 0.0000 0.0000 0.0000 x2  8 Tc 2.58-2.84, 2 Ru 2.62
2 Tc 0.0535 0.1579 0.5545 x4  3 Tc 2.57-2.76, 1 Re 2.65, 4 Ru 2.66-2.84
3 Tc 0.4398 0.1568 0.9403 x4  4 Tc 2.58-2.86, 4 Ru 2.66-2.88, 2 Re 2.83-2.84
4 Tc 0.4870 0.6177 0.2511 x4  2 Ru 2.35-2.59, 1 Re 2.58
5 Ru 0.0230 0.6249 0.2512 x4  1 Tc 2.35, 1 Re 2.62
6 Ru 0.5000 0.0000 0.5000 x2  8 Tc 2.59-2.84, 2 Ru 2.63

No. 2
Compound: MgPaGa4
Source: Alexandria
Functional: GGA-PBE
Structure: relaxed

Calculated values
- Final energy: -3.95 eV/atom
- ΔH_f (0 K): -0.079 eV per atom

abc: 7.7627 7.7627 7.7627
angles: 90.00 90.00 90.00
With the nearest neighbours (Å) after each atom.
Space group F-43m (No. 216)
Symmetry-distinct sites (fractional):
1 Mg 0.0000 0.0000 0.0000 x4  12 Ga 3.22, 4 Pa 3.36
2 Pa 0.2500 0.2500 0.7500 x4  12 Ga 3.22, 4 Mg 3.36
3 Ga 0.1246 0.1246 0.3754 x16  6 Ga 2.74-2.75

No. 3
Compound: Ca2FeRe
Source: Alexandria
Functional: GGA-PBE
Structure: relaxed

Calculated values
- Final energy: -5.39 eV/atom
- ΔH_f (0 K): 0.837 eV per atom

abc: 2.8128 4.7635 5.9148
angles: 90.00 90.00 90.00
With the nearest neighbours (Å) after each atom.
Space group Pmmm (No. 47)
Symmetry-distinct sites (fractional):
1 Ca 0.0000 0.0000 0.2483 x2  4 Ca 2.81-2.98, 4 Re 3.13, 4 Fe 3.14
2 Fe 0.5000 0.5000 0.5000 x1  2 Fe 2.81, 2 Re 2.96, 8 Ca 3.14
3 Re 0.5000 0.5000 0.0000 x1  2 Re 2.81, 2 Fe 2.96, 8 Ca 3.13

> The highest ΔH_f (0 K) belongs to which entry?

Ca2FeRe

> Which formula does entry 2 have?

MgPaGa4